Entry 1:
Entry from Alexandria via LeMat-Bulk: a relaxed structure of Ac2SmHg4 (PBE-GGA).

abc: 10.694 10.694 10.694
angles: 27.92 27.92 27.92
Positions (direct):
Ac (0.246, 0.246, 0.246)
Ac (0.754, 0.754, 0.754)
Sm (0.000, 0.000, 0.000)
Hg (0.138, 0.138, 0.138)
Hg (0.365, 0.365, 0.365)
Hg (0.635, 0.635, 0.635)
Hg (0.862, 0.862, 0.862)

Output
E_form: -0.36 eV per atom
Mass density: 9.9 Mg/m³
Volume: 33.82 Å³ per atom



Entry 2:
Entry from Alexandria via LeMat-Bulk: a relaxed structure of V3FeGe (PBE-GGA).

abc: 4.279 4.279 4.279
angles: 90.00 90.00 90.00
Positions (direct):
V (0.000, 0.000, 0.500)
V (0.000, 0.500, 0.000)
V (0.500, 0.000, 0.000)
Fe (0.000, 0.000, 0.000)
Ge (0.500, 0.500, 0.500)

Output
E_form: 0.58 eV per atom
Mass density: 6.0 Mg/m³
Volume: 15.67 Å³ per atom



Entry 3:
Entry from Alexandria via LeMat-Bulk: a relaxed structure of TbPaMnSe6 (PBE-GGA).

abc: 6.711 6.711 6.197
angles: 90.00 90.00 120.00
Positions (direct):
Tb (0.000, 0.000, 0.000)
Pa (0.667, 0.333, 0.500)
Mn (0.333, 0.667, 0.000)
Se (0.024, 0.370, 0.242)
Se (0.024, 0.654, 0.758)
Se (0.346, 0.370, 0.758)
Se (0.346, 0.976, 0.242)
Se (0.630, 0.654, 0.242)
Se (0.630, 0.976, 0.758)

Output
Mass density: 6.3 Mg/m³
Formation energy from raw total energies: -0.97 eV/atom
Volume: 26.86 Å³ per atom



Entry 4:
Entry from Alexandria via LeMat-Bulk: a relaxed structure of BC5 (PBE-GGA).

abc: 4.489 4.489 7.376
angles: 114.35 114.35 32.52
Positions (direct):
B (0.249, 0.249, 0.082)
B (0.751, 0.751, 0.918)
C (0.075, 0.075, 0.109)
C (0.084, 0.084, 0.603)
C (0.250, 0.250, 0.561)
C (0.421, 0.421, 0.768)
C (0.422, 0.422, 0.284)
C (0.578, 0.578, 0.716)
C (0.579, 0.579, 0.232)
C (0.750, 0.750, 0.439)
C (0.916, 0.916, 0.397)
C (0.925, 0.925, 0.891)

Output
E_form: 0.26 eV per atom
Mass density: 3.3 Mg/m³
Volume: 6.01 Å³ per atom



Entry 5:
Entry from Alexandria via LeMat-Bulk: a relaxed structure of Ce3GePt (PBE-GGA).

abc: 7.157 7.166 8.010
angles: 63.54 63.59 60.38
Positions (direct):
Ce (0.033, 0.419, 0.265)
Ce (0.217, 0.964, 0.737)
Ce (0.415, 0.784, 0.265)
Ce (0.585, 0.216, 0.735)
Ce (0.783, 0.036, 0.263)
Ce (0.967, 0.581, 0.735)
Ge (0.356, 0.353, 0.437)
Ge (0.644, 0.647, 0.563)
Pt (0.165, 0.166, 0.006)
Pt (0.835, 0.834, 0.994)

Output
E_form: -0.52 eV per atom
Mass density: 7.5 Mg/m³
Volume: 30.61 Å³ per atom



Entry 6:
Entry from Alexandria via LeMat-Bulk: a relaxed structure of DyUTe2 (PBE-GGA).

abc: 10.339 10.339 10.339
angles: 22.36 22.36 22.36
Positions (direct):
Dy (0.000, 0.000, 0.000)
U (0.500, 0.500, 0.500)
Te (0.100, 0.100, 0.100)
Te (0.900, 0.900, 0.900)

Output
Mass density: 7.8 Mg/m³
Formation energy from raw total energies: -0.40 eV/atom
Volume: 35.06 Å³ per atom



Number 1: magnetization 0.0 μB per formula unit. Number 2: magnetization 0.0 μB per formula unit. Number 3: magnetization 3.0 μB per formula unit. Number 4: magnetization 0.0 μB per formula unit. Number 5: magnetization 3.2 μB per formula unit. Number 6: magnetization 3.0 μB per formula unit.